This record from Alexandria describes a relaxed structure of YMg2CrBi. The functional is PBE-GGA.

Output
density	4.2	g/cm3
formation enthalpy at 0 K	1.22	eV/atom

Cell: 5.6714 5.6714 4.9403 Å, 90.00 90.00 90.00°
Last column: nearest neighbours and their distance in Å.
Space group P4/mmm (No. 123)
Asymmetric unit:
1 Y 0.0000 0.0000 0.0000 [1 per cell]  2 Cr 2.47
2 Mg 0.0000 0.5000 0.0000 [2 per cell]  2 Y 2.84
3 Cr 0.0000 0.0000 0.5000 [1 per cell]  2 Y 2.47
4 Bi 0.5000 0.5000 0.5000 [1 per cell]  8 Mg 3.76, 4 Cr 4.01